Below is LiNd2As4Pt3 after structural relaxation, with properties calculated at the PBE level.

Results
Electronic total energy = -5.73 eV/atom

a = 4.395 Å, b = 4.395 Å, c = 10.182 Å
α = 90.00°, β = 90.00°, γ = 90.00°
Element x y z (fractional)
Li (0.000, 0.000, 0.000)
Nd (0.000, 0.500, 0.749)
Nd (0.500, 0.000, 0.251)
As (0.000, 0.000, 0.500)
As (0.000, 0.500, 0.132)
As (0.500, 0.000, 0.868)
As (0.500, 0.500, 0.500)
Pt (0.000, 0.500, 0.377)
Pt (0.500, 0.000, 0.623)
Pt (0.500, 0.500, 0.000)